(1)
The following is a PBE-GGA calculation of crystalline Co2W3 at its relaxed geometry, from Alexandria via LeMat-Bulk.

Values from the calculation:
- density of states at the Fermi level (states/eV/cell) = 4.5
- E (eV for the cell shown) = -50.51
- symmetry = No. 164
- energy above the lowest structure with this stoichiometry (eV/atom) = 0.3082

```
5
Lattice="4.0650 0.0000 0.0000 -2.0325 3.5204 0.0000 0.0000 0.0000 5.2166" Properties=species:S:1:pos:R:3 pbc="T T T"
Co 0.0000 2.3470 1.9450
Co 2.0325 1.1735 3.2716
W 0.0000 0.0000 2.6083
W 0.0000 2.3470 4.5422
W 2.0325 1.1735 0.6745
```

=====

(2)
The following is a PBE-GGA calculation of crystalline CoW8 at its relaxed geometry, from Alexandria via LeMat-Bulk.

Values from the calculation:
- density of states at the Fermi level (states/eV/cell) = 7.3
- E (eV for the cell shown) = -109.66
- symmetry = No. 139

```
9
Lattice="-4.7218 4.7218 1.5859 4.7218 -4.7218 1.5859 4.7218 4.7218 -1.5859" Properties=species:S:1:pos:R:3 pbc="T T T"
Co 0.0000 0.0000 0.0000
W 3.1211 0.0000 0.0000
W 6.3225 0.0000 0.0000
W 0.0000 3.1211 0.0000
W 3.1656 3.1656 0.0000
W 1.5562 -1.5562 1.5859
W -1.5562 1.5562 1.5859
W 1.5562 1.5562 1.5859
W 0.0000 6.3225 0.0000
```

=====

(3)
The following is a PBE-GGA calculation of crystalline Co3W2 at its relaxed geometry, from Alexandria via LeMat-Bulk.

Values from the calculation:
- density of states at the Fermi level (states/eV/cell) = 10.0
- E (eV for the cell shown) = -93.67
- symmetry = No. 43
- energy above the lowest structure with this stoichiometry (eV/atom) = 0.0000

```
10
Lattice="0.0000 5.9757 2.5581 4.1333 0.0000 2.5581 4.1333 5.9757 0.0000" Properties=species:S:1:pos:R:3 pbc="T T T"
Co 0.0000 0.0000 0.0000
Co 2.0667 2.9878 1.2791
Co 3.6803 4.6911 1.9199
Co 4.5863 7.2603 1.9199
Co 6.6529 7.6789 3.1989
Co 5.7470 10.2482 3.1989
W 4.6837 2.3627 1.9716
W 5.6496 5.3505 3.2506
W 3.5829 9.5887 1.9716
W 2.6170 6.6009 3.2506
```

=====

(4)
The following is a PBE-GGA calculation of crystalline Co5W4 at its relaxed geometry, from Alexandria via LeMat-Bulk.

Values from the calculation:
- density of states at the Fermi level (states/eV/cell) = 16.7
- E (eV for the cell shown) = -171.90
- symmetry = No. 193
- energy above the lowest structure with this stoichiometry (eV/atom) = 0.0671

```
18
Lattice="7.2773 0.0000 0.0000 -3.6387 6.3024 0.0000 0.0000 0.0000 5.1278" Properties=species:S:1:pos:R:3 pbc="T T T"
Co -1.2247 2.1213 1.2819
Co -2.4139 4.1810 3.8458
Co 0.0000 4.2016 0.0000
Co 0.0000 4.2016 2.5639
Co 2.4495 0.0000 1.2819
Co 1.2247 2.1213 3.8458
Co 4.8279 0.0000 3.8458
Co 2.4139 4.1810 1.2819
Co 3.6387 2.1008 0.0000
Co 3.6387 2.1008 2.5639
W 0.0000 0.0000 0.0000
W 0.0000 0.0000 2.5639
W -1.2297 2.1299 3.8458
W -2.4090 4.1724 1.2819
W 2.4594 0.0000 3.8458
W 1.2297 2.1299 1.2819
W 4.8179 0.0000 1.2819
W 2.4090 4.1724 3.8458
```

=====

(5)
The following is a PBE-GGA calculation of crystalline Co3W4 at its relaxed geometry, from Alexandria via LeMat-Bulk.

Values from the calculation:
- density of states at the Fermi level (states/eV/cell) = 7.6
- E (eV for the cell shown) = -72.92
- symmetry = No. 191
- energy above the lowest structure with this stoichiometry (eV/atom) = 0.0000

```
7
Lattice="4.7617 0.0000 0.0000 -2.3808 4.1237 0.0000 0.0000 0.0000 4.8489" Properties=species:S:1:pos:R:3 pbc="T T T"
Co -1.1904 2.0619 0.0000
Co 2.3808 0.0000 0.0000
Co 1.1904 2.0619 0.0000
W 0.0000 0.0000 1.2252
W 0.0000 0.0000 3.6236
W 0.0000 2.7491 2.4244
W 2.3808 1.3746 2.4244
```

=====

(6)
The following is a PBE-GGA calculation of crystalline Co24W5 at its relaxed geometry, from Alexandria via LeMat-Bulk.

Values from the calculation:
- density of states at the Fermi level (states/eV/cell) = 28.0
- E (eV for the cell shown) = -234.40
- symmetry = No. 217

```
29
Lattice="-4.3873 4.3873 4.3873 4.3873 -4.3873 4.3873 4.3873 4.3873 -4.3873" Properties=species:S:1:pos:R:3 pbc="T T T"
Co 2.4864 0.8067 -0.8067
Co 2.4864 -0.8067 0.8067
Co 4.7223 1.2330 -1.2330
Co 4.7223 -1.2330 1.2330
Co 6.2882 0.8067 0.8067
Co 0.8067 2.4864 -0.8067
Co 0.8067 -0.8067 2.4864
Co 4.0523 1.2330 1.2330
Co 3.1543 3.1543 -0.3350
Co 3.1543 -0.3350 3.1543
Co -0.8067 2.4864 0.8067
Co -0.8067 0.8067 2.4864
Co 1.2330 4.7223 -1.2330
Co 1.2330 -1.2330 4.7223
Co 1.2330 4.0523 1.2330
Co 1.2330 1.2330 4.0523
Co 3.5806 3.5806 1.9009
Co 3.5806 1.9009 3.5806
Co -1.2330 4.7223 1.2330
Co -1.2330 1.2330 4.7223
Co -0.3350 3.1543 3.1543
Co 0.8067 6.2882 0.8067
Co 0.8067 0.8067 6.2882
Co 1.9009 3.5806 3.5806
W 0.0000 0.0000 0.0000
W 2.7846 2.7846 -2.7846
W 2.7846 -2.7846 2.7846
W 1.6027 1.6027 1.6027
W -2.7846 2.7846 2.7846
```

=====

(7)
The following is a PBE-GGA calculation of crystalline Co7W at its relaxed geometry, from Alexandria via LeMat-Bulk.

Values from the calculation:
- density of states at the Fermi level (states/eV/cell) = 7.7
- E (eV for the cell shown) = -62.23
- symmetry = No. 225

```
8
Lattice="0.0000 3.5720 3.5720 3.5720 0.0000 3.5720 3.5720 3.5720 0.0000" Properties=species:S:1:pos:R:3 pbc="T T T"
Co 0.0000 0.0000 0.0000
Co 1.7860 1.7860 0.0000
Co 1.7860 0.0000 1.7860
Co 3.5720 1.7860 1.7860
Co 0.0000 1.7860 1.7860
Co 1.7860 3.5720 1.7860
Co 1.7860 1.7860 3.5720
W 3.5720 3.5720 3.5720
```

=====

(8)
The following is a PBE-GGA calculation of crystalline Co3W4 at its relaxed geometry, from Alexandria via LeMat-Bulk.

Values from the calculation:
- density of states at the Fermi level (states/eV/cell) = 7.7
- E (eV for the cell shown) = -71.71
- symmetry = No. 139
- energy above the lowest structure with this stoichiometry (eV/atom) = 0.1737

```
7
Lattice="-1.5692 1.5692 9.8781 1.5692 -1.5692 9.8781 1.5692 1.5692 -9.8781" Properties=species:S:1:pos:R:3 pbc="T T T"
Co 0.0000 0.0000 0.0000
Co 0.0000 0.0000 5.6288
Co 0.0000 0.0000 14.1273
W 0.0000 0.0000 3.0459
W 0.0000 0.0000 8.4387
W 0.0000 0.0000 11.3174
W 0.0000 0.0000 16.7103
```